[1]
VASP calculation (PBE-GGA) on crystalline DyScAs2 at its relaxed geometry.

Structure (POSCAR):
```
DyScAs2
1.0
3.978 0.000 0.000
1.989 3.445 0.000
1.989 1.148 6.790
As Dy Sc
2 1 1
Direct
0.087 0.087 0.740
0.247 0.247 0.260
0.669 0.669 0.993
0.498 0.498 0.507
```

- symmetry = R3m
- energy above the lowest structure with this stoichiometry (eV/f.u.) = 0.600
- calculated volume (A^3/atom) = 23.26
- ΔE_f (meV/atom) = -1295

---

[2]
VASP calculation (PBE-GGA) on crystalline DySc3As4 at its relaxed geometry.

Structure (POSCAR):
```
DySc3As4
1.0
-0.772 -0.959 -3.751
-0.114 -6.609 1.713
-6.350 -1.789 1.763
Dy Sc As
1 3 4
Direct
0.500 0.500 0.000
0.000 0.000 0.000
0.000 0.500 0.500
0.500 0.000 0.500
0.000 0.240 0.260
0.500 0.755 0.255
0.500 0.245 0.745
0.000 0.760 0.740
```

- symmetry = Cmmm
- calculated volume (A^3/atom) = 21.69
- ΔE_f (meV/atom) = -1401